Below is a geometry-optimized TbSm2Cd4Si4 structure, with properties calculated at the PBE-GGA level.

Cell: 13.5851 13.5851 13.5851 Å, 162.46 161.60 25.52°
With the nearest neighbours (Å) after each atom.
Atoms (fractional coordinates):
Tb (0.0000, 0.0000, 0.0000)  4 Cd 3.18, 8 Si 3.21
Sm (0.3580, 0.8580, 0.5000)  6 Si 3.21-3.33, 6 Cd 3.29-3.51
Sm (0.6420, 0.1420, 0.5000)  6 Si 3.21-3.33, 6 Cd 3.29-3.51
Cd (0.0910, 0.5910, 0.5000)  3 Si 2.50-2.51
Cd (0.2510, 0.2510, 0.0000)  4 Si 2.70-2.75, 4 Cd 3.00
Cd (0.7490, 0.7490, 0.0000)  4 Si 2.70-2.75, 4 Cd 3.00
Cd (0.9090, 0.4090, 0.5000)  3 Si 2.50-2.51
Si (0.1854, 0.6854, 0.5000)  5 Cd 2.50-2.75
Si (0.4565, 0.4565, 0.0000)  1 Si 2.30, 2 Cd 2.51
Si (0.5435, 0.5435, 0.0000)  1 Si 2.30, 2 Cd 2.51
Si (0.8146, 0.3146, 0.5000)  5 Cd 2.50-2.75

volume: 238.3 Å³/cell
magnetization: 0.0 μB/cell
total DFT energy (no corrections): -43.09 eV/f.u.